Record 1
Compound: TcPt3
Source: Alexandria
Functional: meta-GGA SCAN
Structure: single point on PBEsol structure

abc: 4.529 4.760 5.442
angles: 90.00 90.00 90.00
Fractional positions:
1 Tc 0.000 0.666 0.000
2 Tc 0.500 0.334 0.500
3 Pt 0.500 0.348 0.000
4 Pt 0.000 0.164 0.750
5 Pt 0.500 0.836 0.750
6 Pt 0.000 0.652 0.500
7 Pt 0.000 0.164 0.250
8 Pt 0.500 0.836 0.250

- total energy (eV/atom) = -61.50
- formation enthalpy at 0 K (eV/atom) = -0.088

---

Record 2
Compound: TcPt
Source: Alexandria
Functional: meta-GGA SCAN
Structure: single point on PBEsol structure

abc: 2.715 4.387 4.802
angles: 90.00 90.00 90.00
Fractional positions:
1 Tc 0.500 0.750 0.155
2 Tc 0.500 0.250 0.845
3 Pt 0.000 0.250 0.337
4 Pt 0.000 0.750 0.663

- total energy (eV/atom) = -52.85
- formation enthalpy at 0 K (eV/atom) = -0.227
- energy relative to the lowest polymorph listed for this composition (kJ/mol of formula units) = 0.0

---

Record 3
Compound: Tc3Pt
Source: Alexandria
Functional: meta-GGA SCAN
Structure: single point on PBEsol structure

abc: 2.696 4.717 4.717
angles: 109.76 90.00 90.00
Fractional positions:
1 Pt 0.000 0.000 0.000
2 Tc 0.500 0.000 0.500
3 Tc 0.500 0.500 0.000
4 Tc 0.000 0.500 0.500

- total energy (eV/atom) = -43.94
- formation enthalpy at 0 K (eV/atom) = -0.099
- energy relative to the lowest polymorph listed for this composition (kJ/mol of formula units) = 85.2

---

Record 4
Compound: TcPt3
Source: Alexandria
Functional: meta-GGA SCAN
Structure: single point on PBEsol structure

abc: 2.736 3.901 5.473
angles: 90.00 90.00 90.00
Fractional positions:
1 Tc 0.500 0.500 0.000
2 Pt 0.000 0.000 0.759
3 Pt 0.000 0.000 0.241
4 Pt 0.500 0.500 0.500

- total energy (eV/atom) = -61.55
- formation enthalpy at 0 K (eV/atom) = -0.140

---

Record 5
Compound: TcPt2
Source: Alexandria
Functional: meta-GGA SCAN
Structure: single point on PBEsol structure

abc: 2.737 2.737 6.732
angles: 90.00 90.00 120.00
Fractional positions:
1 Tc 0.000 0.000 0.000
2 Pt 0.667 0.333 0.323
3 Pt 0.333 0.667 0.677

- total energy (eV/atom) = -58.61
- formation enthalpy at 0 K (eV/atom) = -0.129
- energy relative to the lowest polymorph listed for this composition (kJ/mol of formula units) = 33.2

---

Record 6
Compound: TcPt
Source: Alexandria
Functional: meta-GGA SCAN
Structure: single point on PBEsol structure

abc: 3.932 3.932 6.329
angles: 90.00 90.00 120.00
Fractional positions:
1 Pt 0.667 0.333 0.005
2 Pt 0.333 0.667 0.505
3 Tc 0.667 0.333 0.624
4 Tc 0.333 0.667 0.124

- total energy (eV/atom) = -51.80
- formation enthalpy at 0 K (eV/atom) = 0.831
- energy relative to the lowest polymorph listed for this composition (kJ/mol of formula units) = 204.1

---

Record 7
Compound: TcPt
Source: Alexandria
Functional: meta-GGA SCAN
Structure: single point on PBEsol structure

abc: 2.718 2.718 7.791
angles: 90.00 90.00 90.00
Fractional positions:
1 Tc 0.500 0.000 0.615
2 Tc 0.000 0.500 0.385
3 Pt 0.500 0.000 0.134
4 Pt 0.000 0.500 0.866

- total energy (eV/atom) = -52.82
- formation enthalpy at 0 K (eV/atom) = -0.193
- energy relative to the lowest polymorph listed for this composition (kJ/mol of formula units) = 6.4

---

Record 8
Compound: TcPt3
Source: Alexandria
Functional: meta-GGA SCAN
Structure: single point on PBEsol structure

abc: 2.729 4.745 4.778
angles: 99.23 90.00 106.71
Fractional positions:
1 Tc 0.500 0.000 0.000
2 Pt 0.753 0.507 0.758
3 Pt 0.247 0.493 0.242
4 Pt 0.000 0.000 0.500

- total energy (eV/atom) = -61.55
- formation enthalpy at 0 K (eV/atom) = -0.136

---

Record 9
Compound: Tc3Pt
Source: Alexandria
Functional: meta-GGA SCAN
Structure: single point on PBEsol structure

abc: 5.444 5.444 8.766
angles: 90.00 90.00 120.00
Fractional positions:
1 Pt 0.000 0.000 0.000
2 Pt 0.000 0.000 0.500
3 Pt 0.667 0.333 0.750
4 Pt 0.333 0.667 0.250
5 Tc 0.000 0.500 0.000
6 Tc 0.000 0.500 0.500
7 Tc 0.828 0.172 0.250
8 Tc 0.828 0.655 0.250
9 Tc 0.655 0.828 0.750
10 Tc 0.500 0.500 0.000
11 Tc 0.500 0.500 0.500
12 Tc 0.500 0.000 0.000
13 Tc 0.500 0.000 0.500
14 Tc 0.345 0.172 0.250
15 Tc 0.172 0.345 0.750
16 Tc 0.172 0.828 0.750

- total energy (eV/atom) = -44.12
- formation enthalpy at 0 K (eV/atom) = -0.274
- energy relative to the lowest polymorph listed for this composition (kJ/mol of formula units) = 17.6

---

Record 10
Compound: TcPt2
Source: Alexandria
Functional: meta-GGA SCAN
Structure: single point on PBEsol structure

abc: 2.719 3.902 4.729
angles: 114.37 106.71 90.00
Fractional positions:
1 Tc 0.000 0.000 0.000
2 Pt 0.663 0.663 0.326
3 Pt 0.337 0.337 0.674

- total energy (eV/atom) = -58.70
- formation enthalpy at 0 K (eV/atom) = -0.216
- energy relative to the lowest polymorph listed for this composition (kJ/mol of formula units) = 8.2

---

Record 11
Compound: Tc3Pt
Source: Alexandria
Functional: meta-GGA SCAN
Structure: single point on PBEsol structure

abc: 3.854 3.854 4.673
angles: 114.36 114.36 90.00
Fractional positions:
1 Pt 0.000 0.000 0.000
2 Tc 0.250 0.750 0.500
3 Tc 0.500 0.500 0.000
4 Tc 0.750 0.250 0.500

- total energy (eV/atom) = -44.02
- formation enthalpy at 0 K (eV/atom) = -0.176
- energy relative to the lowest polymorph listed for this composition (kJ/mol of formula units) = 55.7

---

Record 12
Compound: TcPt4
Source: Alexandria
Functional: meta-GGA SCAN
Structure: single point on PBEsol structure

abc: 3.871 4.763 4.763
angles: 80.49 66.02 66.02
Fractional positions:
1 Tc 0.000 0.000 0.000
2 Pt 0.603 0.193 0.601
3 Pt 0.397 0.807 0.399
4 Pt 0.204 0.399 0.193
5 Pt 0.796 0.601 0.807

- total energy (eV/atom) = -63.31
- formation enthalpy at 0 K (eV/atom) = -0.141

---

> The highest formation enthalpy at 0 K belongs to which entry?

number 6

---

> What is the formation enthalpy at 0 K in the fifth record?

-0.129 eV/atom

---

> Number 11 is which compound?

Tc3Pt

---

> The lowest total energy belongs to which entry?

TcPt4